# 1
This record from Alexandria describes an optimized crystal structure of AcSm2Ho3. The functional is GGA-PBE.

a b c (Å): 6.7864 6.7864 9.1043
angles (deg): 97.85 97.85 95.08
Atoms (fractional coordinates):
Ac 0.0847 0.9153 0.7500
Ac 0.9153 0.0847 0.2500
Sm 0.1305 0.6232 0.3735
Sm 0.3768 0.8695 0.1265
Sm 0.6232 0.1305 0.8735
Sm 0.8695 0.3768 0.6265
Ho 0.1722 0.3481 0.0014
Ho 0.3481 0.1722 0.5014
Ho 0.4255 0.5745 0.7500
Ho 0.5745 0.4255 0.2500
Ho 0.6519 0.8278 0.4986
Ho 0.8278 0.6519 0.9986

## Properties
Relative energy among the computed polymorphs: 0.0 meV/atom
Spin magnetization: 0.000 μB/f.u.
Formation energy: 103 meV/atom
Space group: C2/c (15)

***

# 2
This record from Alexandria describes an optimized crystal structure of ZrTlSi2I. The functional is GGA-PBE.

a b c (Å): 5.1010 5.1010 5.8425
angles (deg): 90.00 90.00 90.00
Atoms (fractional coordinates):
Zr 0.0000 0.0000 0.0000
Tl 0.0000 0.0000 0.5000
Si 0.0000 0.5000 0.5000
Si 0.5000 0.0000 0.5000
I 0.5000 0.5000 0.0000

## Properties
ΔE_f (raw): 1242 meV/atom
Spin magnetization: 0.657 μB/f.u.
Space group: P4/mmm (123)

***

# 3
This record from Alexandria describes an optimized crystal structure of Lu2CuS. The functional is GGA-PBE.

a b c (Å): 9.1043 9.1043 9.1043
angles (deg): 22.28 22.28 22.28
Atoms (fractional coordinates):
Lu 0.1031 0.1031 0.1031
Lu 0.8969 0.8969 0.8969
Cu 0.0000 0.0000 0.0000
S 0.5000 0.5000 0.5000

## Properties
ΔE_f (raw): -418 meV/atom
Spin magnetization: 0.000 μB/f.u.
Space group: R-3m (166)